1.
VASP calculation (PBE-GGA) on a geometry-optimized NaTaBr2 structure.

Lattice parameters (Å, degrees): 3.3474 3.3474 33.4089 90.00 90.00 120.00
Positions (direct):
1 Na 0.0000 0.0000 0.0000
2 Na 0.3333 0.6667 0.6667
3 Na 0.6667 0.3333 0.3333
4 Ta 0.0000 0.0000 0.5000
5 Ta 0.3333 0.6667 0.1667
6 Ta 0.6667 0.3333 0.8333
7 Br 0.0000 0.0000 0.1101
8 Br 0.0000 0.0000 0.8899
9 Br 0.3333 0.6667 0.5566
10 Br 0.3333 0.6667 0.7767
11 Br 0.6667 0.3333 0.2233
12 Br 0.6667 0.3333 0.4434

volume = 27.02 A^3/atom
E_form (uncorrected) = -0.23 eV/atom
space group = R-3m, No. 166
excess energy over the best structure of this formula in the dataset = 0.0000 eV per atom
VASP energy = -52.3 eV per cell
M_tot = 0.00 μB/f.u.

---

2.
VASP calculation (PBE-GGA) on a geometry-optimized Na3TaBr structure.

Lattice parameters (Å, degrees): 6.0500 6.0500 6.0500 90.00 90.00 90.00
Positions (direct):
1 Na 0.0000 0.0000 0.5000
2 Na 0.0000 0.5000 0.0000
3 Na 0.5000 0.0000 0.0000
4 Ta 0.0000 0.0000 0.0000
5 Br 0.5000 0.5000 0.5000

volume = 44.29 A^3/atom
E_form (uncorrected) = 1.04 eV/atom
space group = Pm-3m, No. 221
excess energy over the best structure of this formula in the dataset = 0.3689 eV per atom
VASP energy = -12.3 eV per cell
M_tot = 5.00 μB/f.u.

---

3.
VASP calculation (PBE-GGA) on a geometry-optimized Na2TaBr6 structure.

Lattice parameters (Å, degrees): 6.7730 6.7730 12.7559 90.00 90.00 90.00
Positions (direct):
1 Na 0.0000 0.0000 0.1691
2 Na 0.0000 0.0000 0.8309
3 Na 0.5000 0.5000 0.3309
4 Na 0.5000 0.5000 0.6691
5 Ta 0.0000 0.0000 0.5000
6 Ta 0.5000 0.5000 0.0000
7 Br 0.1881 0.1881 0.3535
8 Br 0.1881 0.1881 0.6465
9 Br 0.2319 0.2319 0.0000
10 Br 0.2681 0.7319 0.5000
11 Br 0.3119 0.6881 0.1465
12 Br 0.3119 0.6881 0.8535
13 Br 0.6881 0.3119 0.1465
14 Br 0.6881 0.3119 0.8535
15 Br 0.7319 0.2681 0.5000
16 Br 0.7681 0.7681 0.0000
17 Br 0.8119 0.8119 0.3535
18 Br 0.8119 0.8119 0.6465

volume = 32.51 A^3/atom
E_form (uncorrected) = -1.12 eV/atom
space group = P4_2/mnm, No. 136
VASP energy = -69.1 eV per cell
M_tot = 1.00 μB/f.u.

---

4.
VASP calculation (PBE-GGA) on a geometry-optimized NaTaBr2 structure.

Lattice parameters (Å, degrees): 6.7808 6.7808 6.7808 90.00 90.00 90.00
Positions (direct):
1 Na 0.0000 0.0000 0.0000
2 Na 0.0000 0.5000 0.5000
3 Na 0.5000 0.0000 0.5000
4 Na 0.5000 0.5000 0.0000
5 Ta 0.0000 0.0000 0.5000
6 Ta 0.0000 0.5000 0.0000
7 Ta 0.5000 0.0000 0.0000
8 Ta 0.5000 0.5000 0.5000
9 Br 0.2500 0.2500 0.2500
10 Br 0.2500 0.2500 0.7500
11 Br 0.2500 0.7500 0.2500
12 Br 0.2500 0.7500 0.7500
13 Br 0.7500 0.2500 0.2500
14 Br 0.7500 0.2500 0.7500
15 Br 0.7500 0.7500 0.2500
16 Br 0.7500 0.7500 0.7500

volume = 19.49 A^3/atom
E_form (uncorrected) = 0.28 eV/atom
space group = Fm-3m, No. 225
excess energy over the best structure of this formula in the dataset = 0.5046 eV per atom
VASP energy = -61.6 eV per cell
M_tot = 0.00 μB/f.u.

---

5.
VASP calculation (PBE-GGA) on a geometry-optimized NaTaBr2 structure.

Lattice parameters (Å, degrees): 8.8134 8.8134 6.4289 90.00 90.00 90.00
Positions (direct):
1 Na 0.0000 0.0000 0.0000
2 Na 0.0000 0.5000 0.2500
3 Na 0.5000 0.0000 0.7500
4 Na 0.5000 0.5000 0.5000
5 Ta 0.0000 0.0000 0.5000
6 Ta 0.0000 0.5000 0.7500
7 Ta 0.5000 0.0000 0.2500
8 Ta 0.5000 0.5000 0.0000
9 Br 0.1184 0.2500 0.6250
10 Br 0.2500 0.6184 0.8750
11 Br 0.2500 0.8816 0.3750
12 Br 0.3816 0.2500 0.1250
13 Br 0.6184 0.7500 0.1250
14 Br 0.7500 0.1184 0.3750
15 Br 0.7500 0.3816 0.8750
16 Br 0.8816 0.7500 0.6250

volume = 31.21 A^3/atom
E_form (uncorrected) = 0.18 eV/atom
space group = I-42d, No. 122
excess energy over the best structure of this formula in the dataset = 0.4096 eV per atom
VASP energy = -63.2 eV per cell
M_tot = 0.00 μB/f.u.

---

6.
VASP calculation (PBE-GGA) on a geometry-optimized NaTaBr6 structure.

Lattice parameters (Å, degrees): 7.0715 12.7301 6.9808 90.00 108.48 90.00
Positions (direct):
1 Na 0.0000 0.0000 0.0000
2 Na 0.5000 0.5000 0.0000
3 Ta 0.0000 0.5000 0.5000
4 Ta 0.5000 0.0000 0.5000
5 Br 0.2131 0.3568 0.7209
6 Br 0.2131 0.6432 0.7209
7 Br 0.2245 0.5000 0.2828
8 Br 0.2755 0.0000 0.7172
9 Br 0.2869 0.1432 0.2791
10 Br 0.2869 0.8568 0.2791
11 Br 0.7131 0.1432 0.7209
12 Br 0.7131 0.8568 0.7209
13 Br 0.7245 0.0000 0.2828
14 Br 0.7755 0.5000 0.7172
15 Br 0.7869 0.3568 0.2791
16 Br 0.7869 0.6432 0.2791

volume = 37.25 A^3/atom
E_form (uncorrected) = -1.05 eV/atom
space group = C2/m, No. 12
excess energy over the best structure of this formula in the dataset = 0.0000 eV per atom
VASP energy = -63.2 eV per cell
M_tot = 0.00 μB/f.u.

---

7.
VASP calculation (PBE-GGA) on a geometry-optimized Na2Ta3Br9 structure.

Lattice parameters (Å, degrees): 9.9906 9.9906 10.0158 101.32 101.32 119.03
Positions (direct):
1 Na 0.0365 0.7177 0.6393
2 Na 0.2823 0.9635 0.3607
3 Na 0.7177 0.0365 0.6393
4 Na 0.9635 0.2823 0.3607
5 Ta 0.2885 0.4577 0.8654
6 Ta 0.3708 0.3708 0.1181
7 Ta 0.4577 0.2885 0.8654
8 Ta 0.5423 0.7115 0.1346
9 Ta 0.6292 0.6292 0.8819
10 Ta 0.7115 0.5423 0.1346
11 Br 0.0097 0.6046 0.3303
12 Br 0.0766 0.2891 0.9790
13 Br 0.1816 0.1816 0.6656
14 Br 0.1937 0.1937 0.2825
15 Br 0.2891 0.0766 0.9790
16 Br 0.2891 0.7109 0.0000
17 Br 0.3946 0.6045 0.3139
18 Br 0.3955 0.6054 0.6861
19 Br 0.3954 0.9903 0.6697
20 Br 0.6046 0.0097 0.3303
21 Br 0.6045 0.3946 0.3139
22 Br 0.6054 0.3955 0.6861
23 Br 0.7109 0.2891 0.0000
24 Br 0.7109 0.9234 0.0210
25 Br 0.8063 0.8063 0.7175
26 Br 0.8184 0.8184 0.3344
27 Br 0.9234 0.7109 0.0210
28 Br 0.9903 0.3954 0.6697

volume = 28.79 A^3/atom
E_form (uncorrected) = -1.05 eV/atom
space group = C2/m, No. 12
VASP energy = -135.9 eV per cell
M_tot = 0.00 μB/f.u.

---

8.
VASP calculation (PBE-GGA) on a geometry-optimized NaTaBr2 structure.

Lattice parameters (Å, degrees): 3.4502 3.4502 27.3008 90.00 90.00 120.00
Positions (direct):
1 Na 0.0000 0.0000 0.0000
2 Na 0.3333 0.6667 0.6667
3 Na 0.6667 0.3333 0.3333
4 Ta 0.0000 0.0000 0.5000
5 Ta 0.3333 0.6667 0.1667
6 Ta 0.6667 0.3333 0.8333
7 Br 0.0000 0.0000 0.4065
8 Br 0.0000 0.0000 0.5935
9 Br 0.3333 0.6667 0.0732
10 Br 0.3333 0.6667 0.2601
11 Br 0.6667 0.3333 0.7399
12 Br 0.6667 0.3333 0.9268

volume = 23.45 A^3/atom
E_form (uncorrected) = -0.18 eV/atom
space group = R-3m, No. 166
excess energy over the best structure of this formula in the dataset = 0.0454 eV per atom
VASP energy = -51.7 eV per cell
M_tot = 0.09 μB/f.u.